HoTm3Ga2 (PBE-GGA, optimized geometry); magnetization = 0.00 μB per atom; SG = C2/m; E above lowest polymorph = 0.1083 eV/atom; ΔH_f (0 K) = -0.33 eV/atom
1.0
7.866 -2.507 0.000
7.866 2.507 0.000
-4.102 0.000 7.743
Ho Tm Ga
2 6 4
Cartesian
1.277 0.000 1.462 Ho
10.353 0.000 6.281 Ho
-1.975 0.000 5.555 Tm
4.882 0.000 0.076 Tm
3.972 0.000 3.767 Tm
7.658 0.000 3.975 Tm
6.748 0.000 7.667 Tm
13.605 0.000 2.188 Tm
1.049 0.000 4.765 Ga
4.128 0.000 6.558 Ga
7.502 0.000 1.185 Ga
10.581 0.000 2.978 Ga

Pm3Nd2Er2 (PBE-GGA, optimized geometry); magnetization = 0.00 μB per atom; SG = C2/m; E above lowest polymorph = 0.1010 eV/atom; ΔH_f (0 K) = 0.12 eV/atom
1.0
8.874 -1.770 0.000
8.874 1.770 0.000
-4.198 0.000 7.550
Pm Nd Er
3 2 2
Cartesian
0.000 0.000 0.000 Pm
2.526 0.000 2.235 Pm
11.024 0.000 5.316 Pm
5.247 0.000 4.436 Nd
8.303 0.000 3.114 Nd
-0.861 0.000 6.290 Er
14.411 0.000 1.260 Er

CuIr2Pd (PBE-GGA, optimized geometry); magnetization = 0.00 μB per atom; SG = Fm-3m; E above lowest polymorph = 0.2548 eV/atom; ΔH_f (0 K) = 0.38 eV/atom
1.0
0.000 3.056 3.056
3.056 0.000 3.056
3.056 3.056 0.000
Cu Ir Pd
1 2 1
Cartesian
0.000 0.000 0.000 Cu
1.528 1.528 1.528 Ir
4.583 4.583 4.583 Ir
3.056 3.056 3.056 Pd

Sc2PaCl (PBE-GGA, optimized geometry); magnetization = 0.00 μB per atom; SG = R-3m; E_form (uncorrected) = -301.7 meV per atom
1.0
1.579 0.912 10.218
-1.579 0.912 10.218
0.000 -1.823 10.218
Sc Pa Cl
2 1 1
Cartesian
0.000 0.000 3.036 Sc
0.000 0.000 27.618 Sc
0.000 0.000 0.000 Pa
0.000 0.000 15.327 Cl